[1]
Computed, not measured: Cu2AsOs2 after structural relaxation at the PBE level of DFT.

Summary:
As for the space group: No. 139. The energy above the most stable polymorph in this dataset is 125 kJ/mol of formula units. As for the formation energy: 0.69 eV per atom.

```
Cu2AsOs2
1.0
-1.2001 -0.9089 2.8414
-2.0708 -1.9507 -1.4987
2.9749 -6.5595 0.9777
Cu As Os
2 1 2
direct
0.2500 0.7500 0.5000 Cu
0.7500 0.2500 0.5000 Cu
0.0000 0.0000 0.0000 As
0.5985 0.5985 0.8030 Os
0.4015 0.4015 0.1970 Os
```

=====

[2]
Computed, not measured: Cu2AsOs after structural relaxation at the PBE level of DFT.

Summary:
As for the space group: No. 123. As for the formation energy: 0.36 eV per atom.

```
Cu2AsOs
1.0
-0.2970 2.5699 3.0725
-3.6644 -0.1887 -0.1964
0.0186 -2.8176 2.3585
Os Cu As
1 2 1
direct
0.5000 0.5000 0.0000 Os
0.0000 0.5000 0.5000 Cu
0.0000 0.0000 0.0000 Cu
0.5000 0.0000 0.5000 As
```

=====

[3]
Computed, not measured: Cu2AsOsPd after structural relaxation at the PBE level of DFT.

Summary:
As for the space group: No. 123. As for the formation energy: 1.49 eV per atom.

```
Cu2AsOsPd
1.0
4.5682 0.0000 0.0000
0.0000 4.7562 0.0000
0.0000 0.0000 4.5682
Cu Os Pd As
2 1 1 1
direct
0.5000 0.0000 0.0000 Cu
0.0000 0.0000 0.5000 Cu
0.0000 0.5000 0.0000 Os
0.0000 0.0000 0.0000 Pd
0.5000 0.5000 0.5000 As
```

=====

[4]
Computed, not measured: Rb2CuAsOs after structural relaxation at the PBE level of DFT.

Summary:
As for the space group: No. 123. As for the formation energy: 1.37 eV per atom.

```
Rb2CuAsOs
1.0
6.4868 0.0000 0.0000
0.0000 4.7305 0.0000
0.0000 0.0000 6.4868
Cu Os Rb As
1 1 2 1
direct
0.0000 0.5000 0.0000 Cu
0.0000 0.0000 0.0000 Os
0.0000 0.0000 0.5000 Rb
0.5000 0.0000 0.0000 Rb
0.5000 0.5000 0.5000 As
```

=====

[5]
Computed, not measured: CuAs2OsSe after structural relaxation at the PBE level of DFT.

Summary:
The energy relative to the elements, uncorrected is 0.849 eV per atom. As for the space group: No. 123. The energy above the most stable polymorph in this dataset is 0 kJ/mol of formula units.

```
CuAs2OsSe
1.0
-3.5856 -0.4558 -2.8830
2.7796 -1.9263 -3.1525
-1.0682 -5.0122 2.1208
As Se Os Cu
2 1 1 1
direct
0.5000 0.0000 0.0000 As
0.0000 0.5000 0.0000 As
0.0000 0.0000 0.5000 Se
0.0000 0.0000 0.0000 Os
0.5000 0.5000 0.5000 Cu
```

=====

[6]
Computed, not measured: CuSiAs2Os after structural relaxation at the PBE level of DFT.

Summary:
The energy relative to the elements, uncorrected is 0.866 eV per atom. As for the space group: No. 123.

```
CuSiAs2Os
1.0
4.8420 0.0000 0.0000
0.0000 4.6000 0.0000
0.0000 0.0000 4.8420
As Cu Si Os
2 1 1 1
direct
0.5000 0.0000 0.0000 As
0.0000 0.0000 0.5000 As
0.5000 0.5000 0.5000 Cu
0.0000 0.5000 0.0000 Si
0.0000 0.0000 0.0000 Os
```

=====

[7]
Computed, not measured: Sr2CuAsOs after structural relaxation at the PBE level of DFT.

Summary:
As for the space group: No. 123. As for the formation energy: 0.62 eV per atom.

```
Sr2CuAsOs
1.0
-4.8652 3.1202 0.1838
-1.5957 -2.6614 2.9400
2.2604 3.2775 4.1938
Cu Sr As Os
1 2 1 1
direct
0.0000 0.0000 0.0000 Cu
0.0000 0.0000 0.5000 Sr
0.5000 0.0000 0.0000 Sr
0.0000 0.5000 0.0000 As
0.5000 0.5000 0.5000 Os
```

=====

[8]
Computed, not measured: TlCuAsOs2 after structural relaxation at the PBE level of DFT.

Summary:
As for the space group: No. 123. As for the formation energy: 1.83 eV per atom.

```
TlCuAsOs2
1.0
-4.5397 -0.4557 -0.8045
0.8629 -3.5658 -2.8493
-0.3381 -2.9341 3.5694
Os As Tl Cu
2 1 1 1
direct
0.0000 0.0000 0.5000 Os
0.5000 0.0000 0.0000 Os
0.5000 0.5000 0.5000 As
0.0000 0.5000 0.0000 Tl
0.0000 0.0000 0.0000 Cu
```

=====

Magnetization for every record listed, in sequence, given in Bohr magnetons per cell: 0.00, 0.00, 0.15, 4.66, 0.00, 0.00, 2.03, 0.28.